DFT (SCAN) results for a PBEsol-optimized structure of K2InBr.

## Properties
polymorph energy (0 for the lowest one)	0	meV/atom
ΔE_f (raw)	-0.725	eV per atom
calculated volume	34.03	Å³ per atom
N(E_F)	1.7	states/eV per cell

a b c (Å): 3.802 6.072 6.072
angles (deg): 103.78 90.00 90.00
Element x y z (fractional)
K  0.000  0.000  0.500
K  0.000  0.500  0.000
Br  0.500  0.500  0.500
In  0.500  0.000  0.000

---

DFT (SCAN) results for a PBEsol-optimized structure of KSb2As2.

## Properties
polymorph energy (0 for the lowest one)	220	meV/atom
ΔE_f (raw)	0.058	eV per atom
calculated volume	25.36	Å³ per atom
N(E_F)	5.1	states/eV per cell

a b c (Å): 3.851 8.115 8.115
angles (deg): 90.00 90.00 90.00
Element x y z (fractional)
As  0.000  0.640  0.140
As  0.000  0.140  0.360
As  0.000  0.360  0.860
As  0.000  0.860  0.640
K  0.000  0.000  0.000
K  0.000  0.500  0.500
Sb  0.500  0.854  0.354
Sb  0.500  0.146  0.646
Sb  0.500  0.646  0.854
Sb  0.500  0.354  0.146

---

DFT (SCAN) results for a PBEsol-optimized structure of KSr2As.

## Properties
ΔH_f (0 K)	-233	kJ/mol of formula units
calculated volume	42.10	Å³ per atom
N(E_F)	2.3	states/eV per cell

a b c (Å): 3.938 3.938 10.858
angles (deg): 90.00 90.00 90.00
Element x y z (fractional)
Sr  0.000  0.000  0.148
Sr  0.000  0.000  0.852
As  0.500  0.500  0.000
K  0.500  0.500  0.500

---

DFT (SCAN) results for a PBEsol-optimized structure of Na3MnBAsO7.

## Properties
ΔE_f (raw)	-2.066	eV per atom
calculated volume	12.52	Å³ per atom

a b c (Å): 5.189 7.123 8.813
angles (deg): 90.00 92.08 90.00
Last column: magnetic moment on the atom in μB.
Element x y z (fractional)
O  0.394  0.750  0.029  0.02
O  0.524  0.250  0.320  -0.02
O  0.788  0.560  0.193  0.05
O  0.960  0.250  0.365  -0.03
O  0.212  0.440  0.807  0.05
O  0.212  0.060  0.807  0.05
O  0.040  0.750  0.635  -0.03
O  0.788  0.940  0.193  0.05
O  0.313  0.750  0.416  -0.01
O  0.476  0.750  0.680  -0.02
O  0.122  0.250  0.086  0.01
O  0.878  0.750  0.914  0.01
O  0.606  0.250  0.971  0.02
O  0.687  0.250  0.584  -0.01
B  0.721  0.250  0.435  0.01
B  0.279  0.750  0.565  0.01
As  0.720  0.750  0.082  0.03
As  0.280  0.250  0.918  0.03
Na  0.255  0.996  0.248  0.00
Na  0.769  0.750  0.424  0.00
Na  0.231  0.250  0.576  0.00
Na  0.745  0.496  0.752  0.00
Na  0.745  0.004  0.752  0.00
Na  0.255  0.504  0.248  0.00
Mn  0.216  0.750  0.830  3.76
Mn  0.784  0.250  0.170  3.76

---

DFT (SCAN) results for a PBEsol-optimized structure of HoTmTl2.

## Properties
ΔH_f (0 K)	-192	kJ/mol of formula units
calculated volume	25.22	Å³ per atom
N(E_F)	3.0	states/eV per cell

a b c (Å): 5.225 5.225 5.225
angles (deg): 60.00 60.00 60.00
Element x y z (fractional)
Tl  0.750  0.750  0.750
Tl  0.250  0.250  0.250
Ho  0.500  0.500  0.500
Tm  0.000  0.000  0.000

---

DFT (SCAN) results for a PBEsol-optimized structure of Sc2ReAg.

## Properties
ΔH_f (0 K)	147	kJ/mol of formula units
calculated volume	17.87	Å³ per atom
N(E_F)	3.0	states/eV per cell

a b c (Å): 2.880 2.880 10.087
angles (deg): 81.79 81.79 60.00
Last column: magnetic moment on the atom in μB.
Element x y z (fractional)
Re  0.249  0.249  0.254  0.12
Sc  0.754  0.754  0.739  0.38
Sc  0.995  0.995  0.016  0.35
Ag  0.503  0.503  0.491  0.00

---

DFT (SCAN) results for a PBEsol-optimized structure of GaTeSeN2.

## Properties
ΔE_f (raw)	1.151	eV per atom
calculated volume	16.13	Å³ per atom
N(E_F)	2.6	states/eV per cell

a b c (Å): 3.989 3.989 5.070
angles (deg): 90.00 90.00 90.00
Last column: magnetic moment on the atom in μB.
Element x y z (fractional)
Te  0.500  0.500  0.500  0.21
Ga  0.000  0.000  0.000  -0.06
N  0.500  0.000  0.000  1.13
N  0.000  0.500  0.000  1.13
Se  0.000  0.000  0.500  0.07

---

DFT (SCAN) results for a PBEsol-optimized structure of NbCuP3.

## Properties
polymorph energy (0 for the lowest one)	0	meV/atom
ΔH_f (0 K)	372	kJ/mol of formula units
calculated volume	21.26	Å³ per atom
N(E_F)	3.1	states/eV per cell

a b c (Å): 4.737 4.737 4.737
angles (deg): 90.00 90.00 90.00
Element x y z (fractional)
Cu  0.500  0.500  0.500
P  0.000  0.000  0.500
P  0.000  0.500  0.000
P  0.500  0.000  0.000
Nb  0.000  0.000  0.000

---

Number 1: total magnetization 0.00 μB per atom. Number 2: total magnetization 0.00 μB per atom. Number 3: total magnetization 0.04 μB per atom. Number 4: total magnetization 0.31 μB per atom. Number 5: total magnetization 0.00 μB per atom. Number 6: total magnetization 0.29 μB per atom. Number 7: total magnetization 0.70 μB per atom. Number 8: total magnetization 0.00 μB per atom.